{"formula": "ErGeBiO5", "functional": "PBE-GGA", "state": "optimized geometry", "magmom_total_mub_per_cell": 0.00, "vol_a3_per_cell": 918, "n_ef_per_ev_atom": 0.00, "sg": "Pbca, No. 61", "formation_energy_uncorrected_ev_per_atom": -2.223, "lattice_angstrom": [[5.376, 0.000, 0.000], [0.000, 15.411, 0.000], [0.000, 0.000, 11.080]], "species": ["Er", "Er", "Er", "Er", "Er", "Er", "Er", "Er", "Ge", "Ge", "Ge", "Ge", "Ge", "Ge", "Ge", "Ge", "Bi", "Bi", "Bi", "Bi", "Bi", "Bi", "Bi", "Bi", "O", "O", "O", "O", "O", "O", "O", "O", "O", "O", "O", "O", "O", "O", "O", "O", "O", "O", "O", "O", "O", "O", "O", "O", "O", "O", "O", "O", "O", "O", "O", "O", "O", "O", "O", "O", "O", "O", "O", "O"], "fractional_positions": [[0.010, 0.053, 0.141], [0.010, 0.447, 0.641], [0.490, 0.553, 0.141], [0.490, 0.947, 0.641], [0.510, 0.053, 0.359], [0.510, 0.447, 0.859], [0.990, 0.553, 0.359], [0.990, 0.947, 0.859], [0.006, 0.096, 0.597], [0.006, 0.404, 0.097], [0.494, 0.596, 0.597], [0.494, 0.904, 0.097], [0.506, 0.096, 0.903], [0.506, 0.404, 0.403], [0.994, 0.596, 0.903], [0.994, 0.904, 0.403], [0.044, 0.736, 0.147], [0.044, 0.764, 0.647], [0.456, 0.236, 0.147], [0.456, 0.264, 0.647], [0.544, 0.736, 0.353], [0.544, 0.764, 0.853], [0.956, 0.236, 0.353], [0.956, 0.264, 0.853], [0.065, 0.199, 0.669], [0.065, 0.301, 0.169], [0.146, 0.521, 0.808], [0.146, 0.979, 0.308], [0.196, 0.626, 0.025], [0.196, 0.874, 0.525], [0.200, 0.561, 0.541], [0.200, 0.939, 0.041], [0.249, 0.149, 0.265], [0.249, 0.351, 0.765], [0.251, 0.649, 0.265], [0.251, 0.851, 0.765], [0.300, 0.061, 0.541], [0.300, 0.439, 0.041], [0.304, 0.126, 0.025], [0.304, 0.374, 0.525], [0.354, 0.021, 0.808], [0.354, 0.479, 0.308], [0.435, 0.699, 0.669], [0.435, 0.801, 0.169], [0.565, 0.199, 0.831], [0.565, 0.301, 0.331], [0.646, 0.521, 0.692], [0.646, 0.979, 0.192], [0.696, 0.626, 0.475], [0.696, 0.874, 0.975], [0.700, 0.561, 0.959], [0.700, 0.939, 0.459], [0.749, 0.149, 0.235], [0.749, 0.351, 0.735], [0.751, 0.649, 0.235], [0.751, 0.851, 0.735], [0.800, 0.061, 0.959], [0.800, 0.439, 0.459], [0.804, 0.126, 0.475], [0.804, 0.374, 0.975], [0.854, 0.021, 0.692], [0.854, 0.479, 0.192], [0.935, 0.699, 0.831], [0.935, 0.801, 0.331]]}

---

{"formula": "ErGeBiO5", "functional": "PBE-GGA", "state": "optimized geometry", "magmom_total_mub_per_cell": 0.00, "vol_a3_per_cell": 236, "n_ef_per_ev_atom": 0.00, "sg": "C2/c, No. 15", "formation_energy_uncorrected_ev_per_atom": -2.121, "lattice_angstrom": [[3.448, -4.802, 0.000], [3.448, 4.802, 0.000], [-2.767, 0.000, 7.127]], "species": ["Er", "Er", "Ge", "Ge", "Bi", "Bi", "O", "O", "O", "O", "O", "O", "O", "O", "O", "O"], "fractional_positions": [[0.000, 0.000, 0.000], [0.000, 0.000, 0.500], [0.323, 0.677, 0.750], [0.677, 0.323, 0.250], [0.324, 0.676, 0.250], [0.676, 0.324, 0.750], [0.083, 0.663, 0.864], [0.105, 0.895, 0.250], [0.263, 0.401, 0.572], [0.337, 0.917, 0.636], [0.401, 0.263, 0.072], [0.599, 0.737, 0.928], [0.663, 0.083, 0.364], [0.737, 0.599, 0.428], [0.895, 0.105, 0.750], [0.917, 0.337, 0.136]]}

---

{"formula": "Er4GeBi2Se", "functional": "PBE-GGA", "state": "optimized geometry", "magmom_total_mub_per_cell": 0.00, "vol_a3_per_cell": 220, "n_ef_per_ev_atom": 0.20, "sg": "P2/m, No. 10", "formation_energy_uncorrected_ev_per_atom": -1.056, "lattice_angstrom": [[7.355, 0.000, 0.000], [0.000, 4.242, 0.000], [-2.440, 0.000, 7.055]], "species": ["Er", "Er", "Er", "Er", "Ge", "Bi", "Bi", "Se"], "fractional_positions": [[0.236, 0.000, 0.226], [0.247, 0.500, 0.770], [0.753, 0.500, 0.230], [0.764, 0.000, 0.774], [0.000, 0.500, 0.000], [0.000, 0.000, 0.500], [0.500, 0.500, 0.500], [0.500, 0.000, 0.000]]}

---

{"formula": "Er6GeBi2Te3", "functional": "PBE-GGA", "state": "optimized geometry", "magmom_total_mub_per_cell": 0.00, "vol_a3_per_cell": 348, "n_ef_per_ev_atom": 0.34, "sg": "C2/m, No. 12", "formation_energy_uncorrected_ev_per_atom": -1.090, "lattice_angstrom": [[9.488, -2.162, 0.000], [9.488, 2.162, 0.000], [-1.947, 0.000, 8.486]], "species": ["Er", "Er", "Er", "Er", "Er", "Er", "Ge", "Bi", "Bi", "Te", "Te", "Te"], "fractional_positions": [[0.001, 0.001, 0.279], [0.335, 0.335, 0.919], [0.348, 0.348, 0.423], [0.652, 0.652, 0.577], [0.665, 0.665, 0.081], [0.999, 0.999, 0.721], [0.500, 0.500, 0.500], [0.167, 0.167, 0.834], [0.833, 0.833, 0.166], [0.171, 0.171, 0.336], [0.500, 0.500, 0.000], [0.829, 0.829, 0.664]]}

---

{"formula": "Er6Ge2BiTe3", "functional": "PBE-GGA", "state": "optimized geometry", "magmom_total_mub_per_cell": 0.00, "vol_a3_per_cell": 336, "n_ef_per_ev_atom": 0.21, "sg": "C2/m, No. 12", "formation_energy_uncorrected_ev_per_atom": -1.134, "lattice_angstrom": [[9.366, -2.135, 0.000], [9.366, 2.135, 0.000], [-2.012, 0.000, 8.408]], "species": ["Er", "Er", "Er", "Er", "Er", "Er", "Ge", "Ge", "Bi", "Te", "Te", "Te"], "fractional_positions": [[0.013, 0.013, 0.256], [0.325, 0.325, 0.433], [0.330, 0.330, 0.886], [0.670, 0.670, 0.114], [0.675, 0.675, 0.567], [0.987, 0.987, 0.744], [0.168, 0.168, 0.337], [0.832, 0.832, 0.663], [0.500, 0.500, 0.000], [0.162, 0.162, 0.834], [0.500, 0.500, 0.500], [0.838, 0.838, 0.166]]}

---

{"formula": "Er4GeBi2Te", "functional": "PBE-GGA", "state": "optimized geometry", "magmom_total_mub_per_cell": 0.00, "vol_a3_per_cell": 231, "n_ef_per_ev_atom": 0.20, "sg": "P2/m, No. 10", "formation_energy_uncorrected_ev_per_atom": -0.950, "lattice_angstrom": [[7.527, 0.000, 0.000], [0.000, 4.314, 0.000], [-2.471, 0.000, 7.125]], "species": ["Er", "Er", "Er", "Er", "Ge", "Bi", "Bi", "Te"], "fractional_positions": [[0.230, 0.000, 0.231], [0.235, 0.500, 0.760], [0.765, 0.500, 0.240], [0.770, 0.000, 0.769], [0.000, 0.500, 0.000], [0.000, 0.000, 0.500], [0.500, 0.500, 0.500], [0.500, 0.000, 0.000]]}

---

{"formula": "Er5Bi5H2", "functional": "PBE-GGA", "state": "optimized geometry", "magmom_total_mub_per_cell": 0.00, "vol_a3_per_cell": 294, "n_ef_per_ev_atom": 0.45, "final_energy_ev_per_atom": -4.6442, "sg": "C2/m, No. 12", "lattice_angstrom": [[5.997, -2.121, 0.000], [5.997, 2.121, 0.000], [-1.034, 0.000, 11.572]], "species": ["Er", "Er", "Er", "Er", "Er", "Bi", "Bi", "Bi", "Bi", "Bi", "H", "H"], "fractional_positions": [[0.000, 0.000, 0.000], [0.088, 0.088, 0.323], [0.364, 0.364, 0.189], [0.636, 0.636, 0.811], [0.912, 0.912, 0.677], [0.198, 0.198, 0.612], [0.337, 0.337, 0.887], [0.500, 0.500, 0.500], [0.663, 0.663, 0.113], [0.802, 0.802, 0.388], [0.054, 0.054, 0.825], [0.946, 0.946, 0.175]]}

---

{"formula": "Er4Bi2H", "functional": "PBE-GGA", "state": "optimized geometry", "magmom_total_mub_per_cell": 0.00, "vol_a3_per_cell": 172, "n_ef_per_ev_atom": 0.83, "final_energy_ev_per_atom": -4.7446, "sg": "I4/mmm, No. 139", "lattice_angstrom": [[-2.246, 2.246, 8.521], [2.246, -2.246, 8.521], [2.246, 2.246, -8.521]], "species": ["Er", "Er", "Er", "Er", "Bi", "Bi", "H"], "fractional_positions": [[0.000, 0.500, 0.500], [0.176, 0.176, 0.000], [0.500, 0.000, 0.500], [0.824, 0.824, 0.000], [0.361, 0.361, 0.000], [0.639, 0.639, 0.000], [0.000, 0.000, 0.000]]}